Entry 1:
Below is a geometry-optimized Li2YPCO7 structure, with properties calculated at the PBE-GGA level.

The structure belongs to space group P2_1/m (No. 11); the cell edges are 4.7722, 6.6675 and 9.6549 Å and the angles 90.00°, 97.82° and 90.00°. The asymmetric unit holds Li at (0.2056, 0.0015, 0.3348), Y at (0.2633, 0.7500, 0.8735), P at (0.2460, 0.2500, 0.8901), C at (0.2759, 0.7500, 0.5772), O at (0.0292, 0.7500, 0.6201), O at (0.1184, 0.0609, 0.8136), O at (0.1993, 0.2500, 0.0479), O at (0.3066, 0.7500, 0.4477), O at (0.4266, 0.7500, 0.1036) and O at (0.4972, 0.7500, 0.6759).

For the formation energy from raw total energies, the calculation gives -2373 meV/atom. The density of states at the Fermi level comes out at 0.000 states/eV per atom.

Entry 2:
Below is a geometry-optimized Ca2AcLu structure, with properties calculated at the PBE-GGA level.

The structure belongs to space group P4/mmm (No. 123); the cell edges are 4.2376, 4.2376 and 8.5513 Å and the angles 90.00°, 90.00° and 90.00°. The asymmetric unit holds Ca at (0.0000, 0.0000, 0.2264), Ac at (0.5000, 0.5000, 0.5000) and Lu at (0.5000, 0.5000, 0.0000).

The value obtained for the energy above the most stable polymorph in this dataset is 0.000 eV/atom. The density of states at the Fermi level comes out at 1.397 states/eV per atom. For the formation energy, the calculation gives 0.6 eV per formula unit.

Entry 3:
Below is a geometry-optimized BaNiTe2 structure, with properties calculated at the PBE-GGA level.

The structure belongs to space group Pmmm (No. 47); the cell edges are 3.9970, 4.8175 and 6.7950 Å and the angles 90.00°, 90.00° and 90.00°. The asymmetric unit holds Ba at (0.0000, 0.0000, 0.0000), Ni at (0.0000, 0.5000, 0.5000) and Te at (0.5000, 0.5000, 0.2667).

For the formation energy from raw total energies, the calculation gives -748 meV/atom. The density of states at the Fermi level comes out at 0.315 states/eV per atom.

Entry 4:
Below is a geometry-optimized Y2MgZn structure, with properties calculated at the PBE-GGA level.

The structure belongs to space group I-42d (No. 122); the cell edges are 8.3014, 8.3014 and 6.3318 Å and the angles 90.00°, 90.00° and 90.00°. The asymmetric unit holds Y at (0.2108, 0.2500, 0.1250), Mg at (0.0000, 0.0000, 0.5000) and Zn at (0.0000, 0.0000, 0.0000).

The value obtained for the energy above the most stable polymorph in this dataset is 0.373 eV/atom. The density of states at the Fermi level comes out at 1.374 states/eV per atom. For the formation energy, the calculation gives 0.6 eV per formula unit.

Entry 5:
Below is a geometry-optimized SmDyCd4 structure, with properties calculated at the PBE-GGA level.

The structure belongs to space group F-43m (No. 216); the cell edges are 8.3945, 8.3945 and 8.3945 Å and the angles 90.00°, 90.00° and 90.00°. The asymmetric unit holds Sm at (0.0000, 0.0000, 0.0000), Dy at (0.2500, 0.2500, 0.2500) and Cd at (0.1250, 0.1250, 0.6250).

The value obtained for the energy above the most stable polymorph in this dataset is 0.057 eV/atom. The density of states at the Fermi level comes out at 0.746 states/eV per atom. For the formation energy, the calculation gives -1.6 eV per formula unit.

Entry 6:
Below is a geometry-optimized HgSb3Se structure, with properties calculated at the PBE-GGA level.

The structure belongs to space group Pm-3m (No. 221); the cell edges are 5.5337, 5.5337 and 5.5337 Å and the angles 90.00°, 90.00° and 90.00°. The asymmetric unit holds Hg at (0.0000, 0.0000, 0.0000), Sb at (0.0000, 0.0000, 0.5000) and Se at (0.5000, 0.5000, 0.5000).

For the formation energy from raw total energies, the calculation gives 942 meV/atom. The value obtained for the energy above the most stable polymorph in this dataset is 0.323 eV/atom. The density of states at the Fermi level comes out at 1.504 states/eV per atom.

Entry 7:
Below is a geometry-optimized Zr2TiBe structure, with properties calculated at the PBE-GGA level.

The structure belongs to space group I-42d (No. 122); the cell edges are 7.4107, 7.4107 and 5.4478 Å and the angles 90.00°, 90.00° and 90.00°. The asymmetric unit holds Zr at (0.2193, 0.2500, 0.1250), Ti at (0.0000, 0.0000, 0.5000) and Be at (0.0000, 0.0000, 0.0000).

The density of states at the Fermi level comes out at 1.199 states/eV per atom. For the formation energy, the calculation gives 1.5 eV per formula unit.

Entry 8:
Below is a geometry-optimized TaAlOs4 structure, with properties calculated at the PBE-GGA level.

The structure belongs to space group F-43m (No. 216); the cell edges are 7.2670, 7.2670 and 7.2670 Å and the angles 90.00°, 90.00° and 90.00°. The asymmetric unit holds Ta at (0.0000, 0.0000, 0.0000), Al at (0.2500, 0.2500, 0.2500) and Os at (0.1244, 0.1244, 0.6244).

The density of states at the Fermi level comes out at 0.651 states/eV per atom. For the formation energy, the calculation gives 1.2 eV per formula unit.

no.,M_tot (μB per formula unit),DFT total energy (eV for the cell shown)
1,0.0,-176.2
2,0.0,-12.0
3,0.0,-17.0
4,0.0,-60.9
5,0.0,-58.4
6,0.0,-11.4
7,0.0,-108.9
8,0.0,-237.4